[1]
A plane-wave DFT calculation with PBE was carried out for crystalline ErTmC at its relaxed geometry.

Cell: 6.1408 3.5459 6.3449 Å, 90.00 108.89 90.00°
Space group P2_1/m (No. 11)
Inequivalent atoms, fractional coordinates:
Er1 0.0093 0.2500 0.2786 (multiplicity 2)
Tm1 0.4903 0.2500 0.7199 (multiplicity 2)
C1 0.2510 0.7500 0.5004 (multiplicity 2)

- Mass density: 8.8 g/cm3
- Energy: -6.42 eV per atom
- Total magnetic moment: 0.3 μB/f.u.
- Crystal system: monoclinic

[2]
A plane-wave DFT calculation with PBE was carried out for crystalline Hf2MgAlNi4 at its relaxed geometry.

Cell: 4.1306 4.1306 7.9845 Å, 90.00 90.00 120.00°
Space group P-3m1 (No. 164)
Inequivalent atoms, fractional coordinates:
Hf1 0.3333 0.6667 0.2459 (multiplicity 2)
Mg1 0.0000 0.0000 0.5000 (multiplicity 1)
Al1 0.0000 0.0000 0.0000 (multiplicity 1)
Ni1 0.3333 0.6667 0.5920 (multiplicity 2)
Ni2 0.3333 0.6667 0.9133 (multiplicity 2)

- Mass density: 9.1 g/cm3
- Energy: -6.42 eV per atom
- Total magnetic moment: 0.0 μB/f.u.
- Crystal system: trigonal

[3]
A plane-wave DFT calculation with PBE was carried out for crystalline NdEr2Pd3Pb3 at its relaxed geometry.

Cell: 3.8911 13.6693 7.8298 Å, 90.00 90.00 90.00°
Space group Amm2 (No. 38)
Inequivalent atoms, fractional coordinates:
Nd1 0.0000 0.0000 0.0000 (multiplicity 2)
Er1 0.0000 0.2005 0.6023 (multiplicity 4)
Pd1 0.0000 0.0000 0.4063 (multiplicity 2)
Pd2 0.5000 0.1703 0.9003 (multiplicity 4)
Pb1 0.5000 0.0000 0.6666 (multiplicity 2)
Pb2 0.5000 0.1339 0.2710 (multiplicity 4)

- Mass density: 11.3 g/cm3
- Energy: -5.22 eV per atom
- Total magnetic moment: 0.0 μB/f.u.
- Crystal system: orthorhombic

[4]
A plane-wave DFT calculation with PBE was carried out for crystalline LaPmCd at its relaxed geometry.

Cell: 7.3621 7.3621 7.3621 Å, 90.00 90.00 90.00°
Space group F-43m (No. 216)
Inequivalent atoms, fractional coordinates:
La1 0.0000 0.0000 0.0000 (multiplicity 4)
Pm1 0.2500 0.2500 0.2500 (multiplicity 4)
Cd1 0.2500 0.2500 0.7500 (multiplicity 4)

- Mass density: 6.6 g/cm3
- Total magnetic moment: 0.0 μB/f.u.
- E_form: 9.1 kcal/mol of atoms
- Crystal system: cubic